# Sm3RuI, optimized geometry, DFT PBE
data_Sm3RuI
_chemical_formula_sum 'Sm6 Ru2 I2'
_cell_length_a 7.9582
_cell_length_b 7.9582
_cell_length_c 10.4108
_cell_angle_alpha 106.40
_cell_angle_beta 106.40
_cell_angle_gamma 28.50
_symmetry_space_group_name_H-M 'P 1'
_symmetry_Int_Tables_number 1
loop_
_symmetry_equiv_pos_as_xyz
'x,y,z'
loop_
_atom_site_label
_atom_site_type_symbol
_atom_site_fract_x
_atom_site_fract_y
_atom_site_fract_z
_atom_site_occupancy
Sm1 Sm 0.0284 0.0284 0.3576 1
Sm2 Sm 0.2336 0.2336 0.6431 1
Sm3 Sm 0.3438 0.3438 0.1189 1
Sm4 Sm 0.6562 0.6562 0.8811 1
Sm5 Sm 0.7664 0.7664 0.3569 1
Sm6 Sm 0.9716 0.9716 0.6424 1
Ru1 Ru 0.4028 0.4028 0.4112 1
Ru2 Ru 0.5972 0.5972 0.5888 1
I1 I 0.1234 0.1234 0.1179 1
I2 I 0.8766 0.8766 0.8821 1
# **Calculated total energy**: -5.47 eV/atom
# **Polymorph energy (0 for the lowest one)**: 0.0 meV per atom
# **DOS at the Fermi energy**: 6.284 states/eV/cell